Record 1
Compound: La3Te
Source: the Alexandria database
Functional: PBE-GGA
Structure: optimized geometry

Geometry as POSCAR:
```
La3Te
1.0
4.063 0.000 0.000
-2.031 3.519 0.000
0.000 0.000 31.018
La Te
9 3
direct
0.000 0.000 0.000
0.000 0.000 0.237
0.000 0.000 0.763
0.333 0.667 0.429
0.333 0.667 0.667
0.333 0.667 0.904
0.667 0.333 0.096
0.667 0.333 0.333
0.667 0.333 0.571
0.000 0.000 0.500
0.333 0.667 0.167
0.667 0.333 0.833
```

SG = No. 166
Calculated total energy = -20.5 eV/f.u.

***

Record 2
Compound: Tl2HgPt2
Source: the Alexandria database
Functional: PBE-GGA
Structure: optimized geometry

Geometry as POSCAR:
```
Tl2HgPt2
1.0
4.585 0.000 0.000
0.000 4.585 0.000
0.000 0.000 11.622
Tl Hg Pt
4 2 4
direct
0.000 0.500 0.250
0.000 0.500 0.750
0.500 0.000 0.250
0.500 0.000 0.750
0.000 0.000 0.000
0.500 0.500 0.500
0.000 0.000 0.390
0.000 0.000 0.610
0.500 0.500 0.110
0.500 0.500 0.890
```

SG = No. 139
Calculated formation energy = 0.191 eV per atom

***

Record 3
Compound: LaNpN
Source: the Alexandria database
Functional: PBE-GGA
Structure: optimized geometry

Geometry as POSCAR:
```
LaNpN
1.0
3.476 0.000 0.000
-1.738 3.010 0.000
0.000 0.000 6.515
La Np N
1 1 1
direct
0.000 0.000 0.000
0.333 0.667 0.557
0.667 0.333 0.746
```

SG = No. 156
Calculated total energy = -27.8 eV/f.u.

***

Record 4
Compound: DyThGaRu
Source: the Alexandria database
Functional: PBE-GGA
Structure: optimized geometry

Geometry as POSCAR:
```
DyThGaRu
1.0
7.131 0.000 0.000
0.000 7.131 0.000
0.000 0.000 7.131
Dy Th Ga Ru
4 4 4 4
direct
0.000 0.000 0.000
0.000 0.500 0.500
0.500 0.000 0.500
0.500 0.500 0.000
0.000 0.000 0.500
0.000 0.500 0.000
0.500 0.000 0.000
0.500 0.500 0.500
0.250 0.250 0.750
0.250 0.750 0.250
0.750 0.250 0.250
0.750 0.750 0.750
0.250 0.250 0.250
0.250 0.750 0.750
0.750 0.250 0.750
0.750 0.750 0.250
```

SG = No. 216
Calculated formation energy = -0.379 eV per atom

***

Record 5
Compound: YPuAgBi
Source: the Alexandria database
Functional: PBE-GGA
Structure: optimized geometry

Geometry as POSCAR:
```
YPuAgBi
1.0
7.555 0.000 0.000
0.000 7.555 0.000
0.000 0.000 7.555
Y Pu Ag Bi
4 4 4 4
direct
0.000 0.000 0.000
0.000 0.500 0.500
0.500 0.000 0.500
0.500 0.500 0.000
0.000 0.000 0.500
0.000 0.500 0.000
0.500 0.000 0.000
0.500 0.500 0.500
0.250 0.250 0.750
0.250 0.750 0.250
0.750 0.250 0.250
0.750 0.750 0.750
0.250 0.250 0.250
0.250 0.750 0.750
0.750 0.250 0.750
0.750 0.750 0.250
```

SG = No. 216
Calculated formation energy = -0.307 eV per atom

***

Record 6
Compound: SiBiIO2
Source: the Alexandria database
Functional: PBE-GGA
Structure: optimized geometry

Geometry as POSCAR:
```
SiBiIO2
1.0
4.158 0.000 0.000
0.000 4.158 0.000
0.000 0.000 5.185
Si Bi I O
1 1 1 2
direct
0.000 0.000 0.000
0.500 0.500 0.500
0.000 0.000 0.500
0.000 0.500 0.000
0.500 0.000 0.000
```

SG = No. 123
Calculated total energy = -21.0 eV/f.u.

***

Record 7
Compound: Gd2CdAs
Source: the Alexandria database
Functional: PBE-GGA
Structure: optimized geometry

Geometry as POSCAR:
```
Gd2CdAs
1.0
4.043 0.000 0.000
-2.021 3.501 0.000
0.000 0.000 23.655
Gd Cd As
6 3 3
direct
0.000 0.000 0.238
0.000 0.000 0.762
0.333 0.667 0.429
0.333 0.667 0.904
0.667 0.333 0.096
0.667 0.333 0.571
0.000 0.000 0.000
0.333 0.667 0.667
0.667 0.333 0.333
0.000 0.000 0.500
0.333 0.667 0.167
0.667 0.333 0.833
```

SG = No. 166
Calculated formation energy = -0.813 eV per atom

***

Record 8
Compound: Er6GaAg2
Source: the Alexandria database
Functional: PBE-GGA
Structure: optimized geometry

Geometry as POSCAR:
```
Er6GaAg2
1.0
-4.834 4.934 4.952
4.834 -4.934 4.952
4.834 4.934 -4.952
Er Ga Ag
12 2 4
direct
0.052 0.225 0.827
0.248 0.303 0.551
0.248 0.697 0.945
0.264 0.588 0.324
0.264 0.941 0.676
0.398 0.225 0.173
0.602 0.775 0.827
0.736 0.059 0.324
0.736 0.412 0.676
0.752 0.303 0.055
0.752 0.697 0.449
0.948 0.775 0.173
0.000 0.500 0.500
0.500 0.500 0.000
0.000 0.146 0.146
0.000 0.854 0.854
0.363 0.000 0.363
0.637 0.000 0.637
```

SG = No. 71
Calculated formation energy = -0.237 eV per atom

***

Record 9
Compound: KAgF2
Source: the Alexandria database
Functional: PBE-GGA
Structure: optimized geometry

Geometry as POSCAR:
```
KAgF2
1.0
3.867 0.000 0.000
-1.934 3.349 0.000
0.000 0.000 20.929
K Ag F
3 3 6
direct
0.000 0.000 0.000
0.333 0.667 0.667
0.667 0.333 0.333
0.000 0.000 0.500
0.333 0.667 0.167
0.667 0.333 0.833
0.000 0.000 0.401
0.000 0.000 0.599
0.333 0.667 0.068
0.333 0.667 0.266
0.667 0.333 0.734
0.667 0.333 0.932
```

SG = No. 166
Calculated total energy = -15.2 eV/f.u.

***

Record 10
Compound: YSc2Ta
Source: the Alexandria database
Functional: PBE-GGA
Structure: optimized geometry

Geometry as POSCAR:
```
YSc2Ta
1.0
3.209 0.000 0.000
-1.604 2.779 0.000
0.000 0.000 32.073
Y Sc Ta
3 6 3
direct
0.000 0.000 0.000
0.333 0.667 0.667
0.667 0.333 0.333
0.000 0.000 0.241
0.000 0.000 0.759
0.333 0.667 0.426
0.333 0.667 0.908
0.667 0.333 0.092
0.667 0.333 0.574
0.000 0.000 0.500
0.333 0.667 0.167
0.667 0.333 0.833
```

SG = No. 166
Calculated formation energy = 0.220 eV per atom

***

Record 11
Compound: TaAgTe2
Source: the Alexandria database
Functional: PBE-GGA
Structure: optimized geometry

Geometry as POSCAR:
```
TaAgTe2
1.0
3.506 0.000 0.000
0.000 4.980 0.000
0.000 0.000 4.994
Ta Ag Te
1 1 2
direct
0.000 0.000 0.000
0.000 0.500 0.500
0.500 0.000 0.500
0.500 0.500 0.000
```

SG = No. 47
Calculated total energy = -19.4 eV/f.u.

***

Record 12
Compound: InPb2
Source: the Alexandria database
Functional: PBE-GGA
Structure: optimized geometry

Geometry as POSCAR:
```
InPb2
1.0
3.571 0.000 0.000
0.000 4.799 0.000
0.000 0.000 10.598
In Pb
2 4
direct
0.000 0.000 0.000
0.500 0.500 0.500
0.000 0.000 0.335
0.000 0.000 0.665
0.500 0.500 0.165
0.500 0.500 0.835
```

SG = No. 71
Calculated formation energy = 0.013 eV per atom